Record 1
## MnBeP (PBE)

Data for a relaxed structure of MnBeP.

Cell: 3.659 3.659 2.856 Å, 90.00 90.00 120.00°
Positions (direct):
P  0.333  0.667  0.578
Mn  0.667  0.333  0.476
Be  0.000  0.000  0.946

## Properties
The energy above the most stable polymorph in this dataset comes out at 1.28 eV/f.u. The calculation puts the total magnetic moment at 0.0005 μB/atom. As for the space group: P3m1. The value obtained for the theoretical density is 4.761 g/cm3. As for the energy: -6.139 eV/atom. Its calculated formation energy is -0.11 eV/f.u.

=====

Record 2
## MnBeP2 (PBE)

Data for a relaxed structure of MnBeP2.

Cell: 6.721 6.721 6.721 Å, 24.73 24.73 24.73°
Last column: magnetic moment on the atom in μB.
Positions (direct):
P  0.000  0.000  0.000  -0.01
P  0.500  0.500  0.500  -0.01
Mn  0.750  0.750  0.750  0.52
Be  0.250  0.250  0.250  0.03

## Properties
The calculation puts the total magnetic moment at 0.1481 μB/atom. As for the space group: R-3m. The value obtained for the theoretical density is 4.473 g/cm3. As for the energy: -5.953 eV/atom. Its calculated formation energy is -0.09 eV/f.u.

=====

Record 3
## MnBeP3 (PBE)

Data for a relaxed structure of MnBeP3.

Cell: 4.153 4.153 4.153 Å, 90.00 90.00 90.00°
Last column: magnetic moment on the atom in μB.
Positions (direct):
P  0.000  0.500  0.000  0.02
P  0.000  0.000  0.500  0.01
P  0.500  0.000  0.000  0.02
Mn  0.500  0.500  0.500  -0.28
Be  0.000  0.000  0.000  -0.01

## Properties
The energy above the most stable polymorph in this dataset comes out at 1.17 eV/f.u. The calculation puts the total magnetic moment at 0.0491 μB/atom. As for the space group: Pm-3m. The value obtained for the theoretical density is 3.638 g/cm3. As for the energy: -4.774 eV/atom. Its calculated formation energy is 5.25 eV/f.u.

=====

Record 4
## MnBeP2 (PBE)

Data for a relaxed structure of MnBeP2.

Cell: 2.940 3.007 5.597 Å, 70.46 90.00 90.00°
Last column: magnetic moment on the atom in μB.
Positions (direct):
P  0.000  0.094  0.982  -0.02
P  0.000  0.406  0.518  -0.02
Mn  0.500  0.750  0.750  1.12
Be  0.500  0.250  0.250  -0.02

## Properties
The calculation puts the total magnetic moment at 0.2459 μB/atom. As for the space group: P2/m. The value obtained for the theoretical density is 4.485 g/cm3. As for the energy: -5.907 eV/atom. Its calculated formation energy is 0.09 eV/f.u.